A plane-wave DFT calculation with PBE was carried out for a geometry-optimized LaPrSmDy structure.

Properties
Calculated formation energy: 2.56 kcal/mol of atoms
SG: F-43m (216)
Relative energy among the computed polymorphs: 0.35 eV/f.u.
Calculated volume: 34.85 A^3/atom
DFT total energy: -18.6 eV per cell

a b c (Å): 5.8202 5.8202 5.8202
angles (deg): 60.00 60.00 60.00
Closest atoms and distances in Å follow each position.
Positions (direct):
Pr  0.7500  0.7500  0.7500  4 Dy 3.56, 4 Sm 3.56
La  0.2500  0.2500  0.2500  4 Dy 3.56, 4 Sm 3.56
Sm  0.5000  0.5000  0.5000  4 La 3.56, 4 Pr 3.56
Dy  0.0000  0.0000  0.0000  4 Pr 3.56, 4 La 3.56

---

A plane-wave DFT calculation with PBE was carried out for a geometry-optimized La2PrSmDy4 structure.

Properties
Calculated formation energy: 0.38 kcal/mol of atoms
SG: P2/m (10)
Calculated volume: 33.56 A^3/atom
DFT total energy: -37.6 eV per cell

a b c (Å): 3.6415 6.2889 11.9122
angles (deg): 79.75 90.00 90.00
Closest atoms and distances in Å follow each position.
Positions (direct):
La  0.0000  0.0000  0.0000  6 Dy 3.61-3.62, 4 Pr 3.63, 2 La 3.64
La  0.5000  0.0000  0.5000  6 Dy 3.60, 4 Sm 3.63, 2 La 3.64
Pr  0.5000  0.5000  0.0000  6 Dy 3.61-3.62, 4 La 3.63, 2 Pr 3.64
Sm  0.0000  0.5000  0.5000  6 Dy 3.59-3.60, 4 La 3.63, 2 Sm 3.64
Dy  0.0000  0.7505  0.7495  3 La 3.60-3.61, 1 Sm 3.60, 2 Pr 3.61, 6 Dy 3.63-3.64
Dy  0.0000  0.2495  0.2505  3 La 3.60-3.61, 1 Sm 3.60, 2 Pr 3.61, 6 Dy 3.63-3.64
Dy  0.5000  0.7486  0.2513  2 Sm 3.59, 3 La 3.60-3.62, 1 Pr 3.62, 6 Dy 3.63-3.64
Dy  0.5000  0.2514  0.7487  2 Sm 3.59, 3 La 3.60-3.62, 1 Pr 3.62, 6 Dy 3.63-3.64

---

A plane-wave DFT calculation with PBE was carried out for a geometry-optimized LaPrSmDy structure.

Properties
Calculated formation energy: 0.55 kcal/mol of atoms
SG: I-4m2 (119)
Relative energy among the computed polymorphs: 0.00 eV/f.u.
Calculated volume: 34.76 A^3/atom
DFT total energy: -18.9 eV per cell

a b c (Å): 5.1875 5.1877 6.3360
angles (deg): 114.17 114.17 90.00
Closest atoms and distances in Å follow each position.
Positions (direct):
La  0.4457  0.4457  0.8913  4 Dy 3.66, 4 Pr 3.66, 4 Sm 3.67
Pr  0.6955  0.1955  0.3911  4 La 3.66, 4 Sm 3.66, 4 Dy 3.67
Sm  0.9455  0.9455  0.8910  4 Pr 3.66, 4 Dy 3.66, 4 La 3.67
Dy  0.1955  0.6955  0.3910  4 La 3.66, 4 Sm 3.66, 4 Pr 3.67

---

A plane-wave DFT calculation with PBE was carried out for a geometry-optimized La2PrSm4Dy structure.

Properties
Calculated formation energy: 0.51 kcal/mol of atoms
SG: P2/m (10)
Calculated volume: 34.71 A^3/atom
DFT total energy: -37.9 eV per cell

a b c (Å): 5.1883 5.1723 11.5747
angles (deg): 63.37 90.00 90.00
Closest atoms and distances in Å follow each position.
Positions (direct):
La  0.0000  0.0000  0.0000  4 Pr 3.66, 8 Sm 3.68
La  0.5000  0.0000  0.5000  8 Sm 3.64-3.65, 4 Dy 3.66
Pr  0.5000  0.5000  0.0000  4 La 3.66, 8 Sm 3.67-3.68
Sm  0.0000  0.7531  0.7475  2 Dy 3.63-3.64, 4 La 3.65-3.68, 4 Sm 3.66, 2 Pr 3.68
Sm  0.0000  0.2469  0.2525  2 Dy 3.63-3.64, 4 La 3.65-3.68, 4 Sm 3.66, 2 Pr 3.68
Sm  0.5000  0.7477  0.2521  4 La 3.64-3.68, 2 Dy 3.65, 4 Sm 3.66, 2 Pr 3.67-3.68
Sm  0.5000  0.2523  0.7479  4 La 3.64-3.68, 2 Dy 3.65, 4 Sm 3.66, 2 Pr 3.67-3.68
Dy  0.0000  0.5000  0.5000  8 Sm 3.63-3.65, 4 La 3.66

---

A plane-wave DFT calculation with PBE was carried out for a geometry-optimized LaPrSm4Dy2 structure.

Properties
Calculated formation energy: 0.38 kcal/mol of atoms
SG: P-1 (2)
Calculated volume: 33.99 A^3/atom
DFT total energy: -75.3 eV per cell

a b c (Å): 12.5845 7.2698 12.5882
angles (deg): 125.26 131.78 89.98
Closest atoms and distances in Å follow each position.
Positions (direct):
La  0.5000  0.5000  0.5000  2 Dy 3.63, 2 La 3.64, 8 Sm 3.66-3.67
La  0.0000  0.9999  0.9999  2 Pr 3.63-3.64, 2 La 3.64, 8 Sm 3.68-3.69
Pr  0.0000  0.5000  0.0000  2 La 3.63-3.64, 2 Dy 3.64, 8 Sm 3.66
Pr  0.0000  0.5001  0.5000  8 Sm 3.63, 4 Dy 3.63-3.64
Sm  0.2522  0.7458  0.9986  4 Dy 3.59-3.64, 4 Sm 3.59-3.68, 2 Pr 3.63-3.66, 2 La 3.67-3.68
Sm  0.7474  0.2408  0.4937  4 Dy 3.59-3.64, 4 Sm 3.59-3.68, 2 Pr 3.63-3.66, 2 La 3.66-3.68
Sm  0.2526  0.7592  0.5063  4 Dy 3.59-3.64, 4 Sm 3.59-3.68, 2 Pr 3.63-3.66, 2 La 3.66-3.69
Sm  0.7479  0.2543  0.0015  4 Dy 3.59-3.65, 4 Sm 3.59-3.68, 2 Pr 3.63-3.66, 2 La 3.67-3.68
Sm  0.7477  0.7482  0.0013  4 Dy 3.59-3.64, 4 Sm 3.59-3.68, 2 Pr 3.63-3.66, 2 La 3.67-3.68
Sm  0.7476  0.7468  0.4939  4 Dy 3.59-3.64, 4 Sm 3.59-3.68, 2 Pr 3.63-3.66, 2 La 3.66-3.68
Sm  0.2524  0.2532  0.5061  4 Dy 3.59-3.64, 4 Sm 3.59-3.68, 2 Pr 3.63-3.66, 2 La 3.66-3.68
Sm  0.2522  0.2518  0.9987  4 Dy 3.59-3.65, 4 Sm 3.59-3.68, 2 Pr 3.63-3.66, 2 La 3.67-3.68
Dy  0.5000  0.0000  0.0000  8 Sm 3.61, 2 Dy 3.63, 2 Pr 3.64
Dy  0.5000  0.0000  0.5000  2 La 3.63, 2 Pr 3.64, 8 Sm 3.64-3.65
Dy  0.0000  0.0000  0.5000  8 Sm 3.61, 2 Pr 3.63-3.64, 2 Dy 3.64
Dy  0.5000  0.5000  0.0000  8 Sm 3.59, 4 Dy 3.63-3.64

---

A plane-wave DFT calculation with PBE was carried out for a geometry-optimized La2Pr3Sm6Dy structure.

Properties
Calculated formation energy: 0.36 kcal/mol of atoms
SG: C2/m (12)
Calculated volume: 34.79 A^3/atom
DFT total energy: -56.9 eV per cell

a b c (Å): 6.3529 6.3529 12.1325
angles (deg): 95.02 95.02 120.00
Closest atoms and distances in Å follow each position.
Positions (direct):
La  0.3335  0.6665  0.0000  6 Sm 3.66, 3 La 3.66-3.67, 3 Dy 3.67
La  0.6665  0.3335  0.0000  6 Sm 3.66, 3 La 3.66-3.67, 3 Dy 3.67
Pr  0.1665  0.8335  0.5000  6 Sm 3.66-3.67, 6 Pr 3.66-3.67
Pr  0.8335  0.1665  0.5000  6 Sm 3.66-3.67, 6 Pr 3.66-3.67
Pr  0.5000  0.5000  0.5000  6 Sm 3.66-3.67, 6 Pr 3.67
Sm  0.9169  0.5850  0.7504  1 Dy 3.65, 6 Sm 3.65-3.68, 2 La 3.66, 3 Pr 3.66-3.67
Sm  0.7510  0.7510  0.2497  6 Sm 3.65-3.68, 1 Dy 3.65, 2 La 3.66, 3 Pr 3.66-3.67
Sm  0.0831  0.4150  0.2496  1 Dy 3.65, 6 Sm 3.65-3.68, 2 La 3.66, 3 Pr 3.66-3.67
Sm  0.5850  0.9169  0.7504  1 Dy 3.65, 6 Sm 3.65-3.68, 2 La 3.66, 3 Pr 3.66-3.67
Sm  0.2490  0.2490  0.7503  6 Sm 3.65-3.68, 1 Dy 3.65, 2 La 3.66, 3 Pr 3.66-3.67
Sm  0.4150  0.0831  0.2496  1 Dy 3.65, 6 Sm 3.65-3.68, 2 La 3.66, 3 Pr 3.66-3.67
Dy  0.0000  0.0000  0.0000  6 Sm 3.65, 6 La 3.67

---

A plane-wave DFT calculation with PBE was carried out for a geometry-optimized La2PrSm2Dy2 structure.

Properties
Calculated formation energy: 0.55 kcal/mol of atoms
SG: C2/m (12)
Calculated volume: 34.47 A^3/atom
DFT total energy: -33.1 eV per cell

a b c (Å): 5.1532 6.3220 8.1896
angles (deg): 97.26 90.00 114.05
Closest atoms and distances in Å follow each position.
Positions (direct):
La  0.1425  0.2850  0.4273  5 Dy 3.65-3.66, 3 La 3.65-3.66, 1 Pr 3.66, 3 Sm 3.66-3.69
La  0.8575  0.7150  0.5727  5 Dy 3.65-3.66, 3 La 3.65-3.66, 1 Pr 3.66, 3 Sm 3.66-3.69
Pr  0.0000  0.0000  0.0000  6 Sm 3.63-3.66, 4 Dy 3.64, 2 La 3.66
Sm  0.7154  0.4309  0.1409  2 Sm 3.62, 3 Pr 3.63-3.66, 4 Dy 3.64-3.66, 3 La 3.66-3.69
Sm  0.2846  0.5691  0.8591  2 Sm 3.62, 3 Pr 3.63-3.66, 4 Dy 3.64-3.66, 3 La 3.66-3.69
Dy  0.5712  0.1424  0.7157  2 Pr 3.64, 4 Sm 3.64-3.66, 5 La 3.65-3.66, 1 Dy 3.68
Dy  0.4288  0.8576  0.2843  2 Pr 3.64, 4 Sm 3.64-3.66, 5 La 3.65-3.66, 1 Dy 3.68

---

A plane-wave DFT calculation with PBE was carried out for a geometry-optimized La5Pr2SmDy structure.

Properties
Calculated formation energy: 5.95 kcal/mol of atoms
SG: I4/mcm (140)
Calculated volume: 36.19 A^3/atom
DFT total energy: -82.4 eV per cell

a b c (Å): 8.9943 8.9943 10.2608
angles (deg): 115.99 115.99 90.00
Closest atoms and distances in Å follow each position.
Positions (direct):
La  0.9308  0.4308  0.2830  1 Pr 3.15, 1 Dy 3.20
La  0.6478  0.1478  0.7170  1 Pr 3.15, 1 Dy 3.20
La  0.0692  0.5692  0.7170  1 Pr 3.15, 1 Dy 3.20
La  0.1478  0.0692  0.7170  1 Pr 3.15, 1 Dy 3.20
La  0.5692  0.6478  0.7170  1 Pr 3.15, 1 Dy 3.20
La  0.8522  0.9308  0.2830  1 Pr 3.15, 1 Dy 3.20
La  0.4308  0.3522  0.2830  1 Pr 3.15, 1 Dy 3.20
La  0.3522  0.8522  0.2830  1 Pr 3.15, 1 Dy 3.20
La  0.5000  0.5000  0.0000  4 Pr 3.60, 8 La 3.94, 2 Sm 4.03
La  0.0000  0.0000  0.0000  4 Pr 3.60, 8 La 3.94, 2 Sm 4.03
Pr  0.1180  0.3820  0.0000  1 Pr 3.00, 2 La 3.15
Pr  0.6180  0.1180  0.0000  1 Pr 3.00, 2 La 3.15
Pr  0.3820  0.8820  0.0000  1 Pr 3.00, 2 La 3.15
Pr  0.8820  0.6180  0.0000  1 Pr 3.00, 2 La 3.15
Sm  0.2500  0.2500  0.5000  10 La 3.66-4.03
Sm  0.7500  0.7500  0.5000  10 La 3.66-4.03
Dy  0.2500  0.7500  0.5000  4 La 3.20
Dy  0.7500  0.2500  0.5000  4 La 3.20

---

A plane-wave DFT calculation with PBE was carried out for a geometry-optimized La6Pr2SmDy structure.

Properties
Calculated formation energy: 2.47 kcal/mol of atoms
SG: C2/c (15)
Calculated volume: 35.81 A^3/atom
DFT total energy: -94.7 eV per cell

a b c (Å): 9.3266 9.1925 9.1925
angles (deg): 114.67 89.69 89.69
Closest atoms and distances in Å follow each position.
Positions (direct):
La  0.0944  0.0745  0.7787  4 La 3.26-3.60, 1 Sm 3.49, 1 Pr 3.60
La  0.4056  0.2213  0.9255  4 La 3.26-3.60, 1 Sm 3.49, 1 Pr 3.60
La  0.9056  0.9255  0.2213  4 La 3.26-3.60, 1 Sm 3.49, 1 Pr 3.60
La  0.5944  0.7787  0.0745  4 La 3.26-3.60, 1 Sm 3.49, 1 Pr 3.60
La  0.3189  0.0325  0.4693  3 La 3.41-3.52, 1 Sm 3.44, 1 Dy 3.46, 1 Pr 3.53
La  0.1811  0.5307  0.9675  3 La 3.41-3.52, 1 Sm 3.44, 1 Dy 3.46, 1 Pr 3.53
La  0.6811  0.9675  0.5307  3 La 3.41-3.52, 1 Sm 3.44, 1 Dy 3.46, 1 Pr 3.53
La  0.8189  0.4693  0.0325  3 La 3.41-3.52, 1 Sm 3.44, 1 Dy 3.46, 1 Pr 3.53
La  0.0914  0.7226  0.4262  4 La 3.29-3.60, 1 Dy 3.51, 1 Pr 3.60
La  0.4086  0.5738  0.2774  4 La 3.29-3.60, 1 Dy 3.51, 1 Pr 3.60
La  0.9086  0.2774  0.5738  4 La 3.29-3.60, 1 Dy 3.51, 1 Pr 3.60
La  0.5914  0.4262  0.7226  4 La 3.29-3.60, 1 Dy 3.51, 1 Pr 3.60
Pr  0.4365  0.7937  0.7043  2 Dy 3.50-3.83, 2 Sm 3.52-3.88, 6 La 3.53-3.83
Pr  0.0635  0.2957  0.2063  2 Dy 3.50-3.83, 2 Sm 3.52-3.88, 6 La 3.53-3.83
Pr  0.5635  0.2063  0.2957  2 Dy 3.50-3.83, 2 Sm 3.52-3.88, 6 La 3.53-3.83
Pr  0.9365  0.7043  0.7937  2 Dy 3.50-3.83, 2 Sm 3.52-3.88, 6 La 3.53-3.83
Sm  0.2500  0.9288  0.0712  6 La 3.44-3.76, 2 Pr 3.52
Sm  0.7500  0.0712  0.9288  6 La 3.44-3.76, 2 Pr 3.52
Dy  0.2500  0.4324  0.5676  6 La 3.46-3.72, 4 Pr 3.50-3.83
Dy  0.7500  0.5676  0.4324  6 La 3.46-3.72, 4 Pr 3.50-3.83

---

A plane-wave DFT calculation with PBE was carried out for a geometry-optimized La4Pr2Sm2Dy structure.

Properties
Calculated formation energy: 0.46 kcal/mol of atoms
SG: C2/m (12)
Calculated volume: 35.56 A^3/atom
DFT total energy: -43.1 eV per cell

a b c (Å): 5.2375 8.2708 8.2222
angles (deg): 107.67 90.00 108.46
Closest atoms and distances in Å follow each position.
Positions (direct):
La  0.7778  0.5556  0.6692  3 Sm 3.67-3.68, 1 Dy 3.67, 3 Pr 3.69-3.72, 5 La 3.71-3.72
La  0.2222  0.4444  0.3308  3 Sm 3.67-3.68, 1 Dy 3.67, 3 Pr 3.69-3.72, 5 La 3.71-3.72
La  0.5547  0.1095  0.3296  2 Sm 3.65-3.66, 2 Dy 3.67, 4 Pr 3.70-3.73, 4 La 3.71-3.73
La  0.4453  0.8905  0.6704  2 Sm 3.65-3.66, 2 Dy 3.67, 4 Pr 3.70-3.73, 4 La 3.71-3.73
Pr  0.8880  0.7760  0.3296  3 Sm 3.66-3.67, 1 Dy 3.67, 7 La 3.69-3.73, 1 Pr 3.73
Pr  0.1120  0.2240  0.6704  3 Sm 3.66-3.67, 1 Dy 3.67, 7 La 3.69-3.73, 1 Pr 3.73
Sm  0.3339  0.6678  0.9996  5 La 3.65-3.68, 3 Pr 3.66-3.67, 2 Dy 3.69, 2 Sm 3.71
Sm  0.6661  0.3322  0.0004  5 La 3.65-3.68, 3 Pr 3.66-3.67, 2 Dy 3.69, 2 Sm 3.71
Dy  0.0000  0.0000  0.0000  6 La 3.67, 2 Pr 3.67, 4 Sm 3.69

---

A plane-wave DFT calculation with PBE was carried out for a geometry-optimized La2Pr6SmDy structure.

Properties
Calculated formation energy: 2.48 kcal/mol of atoms
SG: C2/c (15)
Calculated volume: 35.88 A^3/atom
DFT total energy: -93.6 eV per cell

a b c (Å): 10.2032 8.9892 8.9892
angles (deg): 117.79 95.29 95.29
Closest atoms and distances in Å follow each position.
Positions (direct):
La  0.4586  0.8072  0.7116  5 Pr 3.33-3.63, 2 Sm 3.43-3.48, 1 Dy 3.65
La  0.0414  0.2884  0.1928  5 Pr 3.33-3.63, 2 Sm 3.43-3.48, 1 Dy 3.65
La  0.5414  0.1928  0.2884  5 Pr 3.33-3.63, 2 Sm 3.43-3.48, 1 Dy 3.65
La  0.9586  0.7116  0.8072  5 Pr 3.33-3.63, 2 Sm 3.43-3.48, 1 Dy 3.65
Pr  0.0551  0.1197  0.7417  7 Pr 3.52-3.91, 1 La 3.63, 1 Sm 3.68, 1 Dy 3.87
Pr  0.4449  0.2583  0.8803  7 Pr 3.52-3.91, 1 La 3.63, 1 Sm 3.68, 1 Dy 3.87
Pr  0.9449  0.8803  0.2583  7 Pr 3.52-3.91, 1 La 3.63, 1 Sm 3.68, 1 Dy 3.87
Pr  0.5551  0.7417  0.1197  7 Pr 3.52-3.91, 1 La 3.63, 1 Sm 3.68, 1 Dy 3.87
Pr  0.3110  0.9835  0.4212  4 Pr 3.41-3.75, 1 La 3.51, 1 Dy 3.51, 1 Sm 3.68
Pr  0.1890  0.5788  0.0165  4 Pr 3.41-3.75, 1 La 3.51, 1 Dy 3.51, 1 Sm 3.68
Pr  0.6890  0.0165  0.5788  4 Pr 3.41-3.75, 1 La 3.51, 1 Dy 3.51, 1 Sm 3.68
Pr  0.8110  0.4212  0.9835  4 Pr 3.41-3.75, 1 La 3.51, 1 Dy 3.51, 1 Sm 3.68
Pr  0.1205  0.7018  0.4984  3 La 3.33-3.60, 4 Pr 3.41-3.67, 1 Dy 3.49
Pr  0.3795  0.5016  0.2982  3 La 3.33-3.60, 4 Pr 3.41-3.67, 1 Dy 3.49
Pr  0.8795  0.2982  0.5016  3 La 3.33-3.60, 4 Pr 3.41-3.67, 1 Dy 3.49
Pr  0.6205  0.4984  0.7018  3 La 3.33-3.60, 4 Pr 3.41-3.67, 1 Dy 3.49
Sm  0.2500  0.9873  0.0127  4 La 3.43-3.48, 4 Pr 3.68
Sm  0.7500  0.0127  0.9873  4 La 3.43-3.48, 4 Pr 3.68
Dy  0.2500  0.4053  0.5947  8 Pr 3.49-3.87, 2 La 3.65
Dy  0.7500  0.5947  0.4053  8 Pr 3.49-3.87, 2 La 3.65

---

A plane-wave DFT calculation with PBE was carried out for a geometry-optimized La2PrSm5Dy structure.

Properties
Calculated formation energy: 5.71 kcal/mol of atoms
SG: I4/mcm (140)
Calculated volume: 34.72 A^3/atom
DFT total energy: -81.2 eV per cell

a b c (Å): 8.7935 8.7935 10.1976
angles (deg): 115.54 115.54 90.00
Closest atoms and distances in Å follow each position.
Positions (direct):
La  0.1185  0.3815  0.0000  1 La 2.95, 2 Sm 3.07
La  0.6185  0.1185  0.0000  1 La 2.95, 2 Sm 3.07
La  0.3815  0.8815  0.0000  1 La 2.95, 2 Sm 3.07
La  0.8815  0.6185  0.0000  1 La 2.95, 2 Sm 3.07
Pr  0.2500  0.2500  0.5000  8 Sm 3.60
Pr  0.7500  0.7500  0.5000  8 Sm 3.60
Sm  0.9251  0.4251  0.2827  1 La 3.07, 1 Dy 3.21
Sm  0.6425  0.1425  0.7173  1 La 3.07, 1 Dy 3.21
Sm  0.0749  0.5749  0.7173  1 La 3.07, 1 Dy 3.21
Sm  0.1425  0.0749  0.7173  1 La 3.07, 1 Dy 3.21
Sm  0.5749  0.6425  0.7173  1 La 3.07, 1 Dy 3.21
Sm  0.8575  0.9251  0.2827  1 La 3.07, 1 Dy 3.21
Sm  0.4251  0.3575  0.2827  1 La 3.07, 1 Dy 3.21
Sm  0.3575  0.8575  0.2827  1 La 3.07, 1 Dy 3.21
Sm  0.5000  0.5000  0.0000  4 La 3.51, 8 Sm 3.88
Sm  0.0000  0.0000  0.0000  4 La 3.51, 8 Sm 3.88
Dy  0.2500  0.7500  0.5000  4 Sm 3.21
Dy  0.7500  0.2500  0.5000  4 Sm 3.21